1.
Here is a crystal of TmSnRh relaxed with PBEsol from Alexandria. Energies are from meta-GGA SCAN.

Output
**Raw total energy**: -373.85 eV/cell

abc: 7.481 7.481 3.666
angles: 90.00 90.00 120.00
Positions (direct):
Tm (0.000, 0.403, 0.000)
Tm (0.403, 0.000, 0.000)
Tm (0.597, 0.597, 0.000)
Sn (0.000, 0.734, 0.500)
Sn (0.266, 0.266, 0.500)
Sn (0.734, 0.000, 0.500)
Rh (0.000, 0.000, 0.000)
Rh (0.333, 0.667, 0.500)
Rh (0.667, 0.333, 0.500)

=====

2.
Here is a crystal of IrW2Au relaxed with PBEsol from Alexandria. Energies are from meta-GGA SCAN.

Output
**Raw total energy**: -279.12 eV/cell
**Offset from the most stable computed form**: 0.31 eV/f.u.

abc: 3.862 3.862 4.091
angles: 90.00 90.00 90.00
Positions (direct):
Ir (0.000, 0.000, 0.000)
W (0.000, 0.500, 0.500)
W (0.500, 0.000, 0.500)
Au (0.500, 0.500, 0.000)

=====

3.
Here is a crystal of FeAgIr2 relaxed with PBEsol from Alexandria. Energies are from meta-GGA SCAN.

Output
**Raw total energy**: -191.12 eV/cell
**Offset from the most stable computed form**: 0.43 eV/f.u.

abc: 2.707 2.707 7.689
angles: 90.00 90.00 90.00
Positions (direct):
Fe (0.000, 0.000, 0.000)
Ag (0.500, 0.500, 0.746)
Ir (0.000, 0.000, 0.470)
Ir (0.500, 0.500, 0.230)

=====

4.
Here is a crystal of Mg3OsPd relaxed with PBEsol from Alexandria. Energies are from meta-GGA SCAN.

Output
**Raw total energy**: -115.89 eV/cell

abc: 4.693 4.693 4.693
angles: 90.00 90.00 90.00
Positions (direct):
Mg (0.000, 0.000, 0.500)
Mg (0.000, 0.500, 0.000)
Mg (0.500, 0.000, 0.000)
Os (0.500, 0.500, 0.500)
Pd (0.000, 0.000, 0.000)

=====

Repeat the second record exactly.
Here is a crystal of IrW2Au relaxed with PBEsol from Alexandria. Energies are from meta-GGA SCAN.

Output
**Raw total energy**: -279.12 eV/cell
**Offset from the most stable computed form**: 0.31 eV/f.u.

abc: 3.862 3.862 4.091
angles: 90.00 90.00 90.00
Positions (direct):
Ir (0.000, 0.000, 0.000)
W (0.000, 0.500, 0.500)
W (0.500, 0.000, 0.500)
Au (0.500, 0.500, 0.000)

=====

Q: Which value of raw total energy does entry 3 give?
A: -191.12 eV/cell

=====

Q: Which formula does entry 3 have?
A: FeAgIr2